Material: Li2TeW
Method: DFT, PBE-GGA
State: relaxed

Computed properties:
DOS at the Fermi energy = 0.96 states/eV per cell
E_tot = -0.3369 Ry/atom
SG = No. 216
Total magnetic moment = 0.0 μB/f.u.

```
data_Li2TeW
_chemical_formula_sum 'Li2 Te1 W1'
_space_group_name_H-M_alt 'P 1'
_space_group_IT_number 1
_cell_length_a 4.5346
_cell_length_b 4.5346
_cell_length_c 4.5346
_cell_angle_alpha 60.00
_cell_angle_beta 60.00
_cell_angle_gamma 60.00
loop_
_space_group_symop_operation_xyz
'x,y,z'
loop_
_atom_site_label
_atom_site_type_symbol
_atom_site_fract_x
_atom_site_fract_y
_atom_site_fract_z
Li1 Li 0.0000 0.0000 0.0000
Li2 Li 0.7500 0.7500 0.7500
Te1 Te 0.5000 0.5000 0.5000
W1 W 0.2500 0.2500 0.2500
```

Material: LiTe2W
Method: DFT, PBE-GGA
State: relaxed

Computed properties:
DOS at the Fermi energy = 3.49 states/eV per cell
E_tot = -0.3871 Ry/atom
SG = No. 44
Total magnetic moment = 0.0 μB/f.u.
Relative energy among the computed polymorphs = 0.052 eV per atom

```
data_LiTe2W
_chemical_formula_sum 'Li1 Te2 W1'
_space_group_name_H-M_alt 'P 1'
_space_group_IT_number 1
_cell_length_a 7.5206
_cell_length_b 7.5206
_cell_length_c 7.5206
_cell_angle_alpha 153.24
_cell_angle_beta 152.36
_cell_angle_gamma 38.86
loop_
_space_group_symop_operation_xyz
'x,y,z'
loop_
_atom_site_label
_atom_site_type_symbol
_atom_site_fract_x
_atom_site_fract_y
_atom_site_fract_z
Li1 Li 0.7048 0.2048 0.5000
Te1 Te 0.0405 0.0405 0.0000
Te2 Te 0.3040 0.8040 0.5000
W1 W 0.4507 0.4507 0.0000
```

Material: LiTe2W
Method: DFT, PBE-GGA
State: relaxed

Computed properties:
DOS at the Fermi energy = 2.85 states/eV per cell
E_tot = -0.3637 Ry/atom
SG = No. 12
Total magnetic moment = 0.0 μB/f.u.
Relative energy among the computed polymorphs = 0.371 eV per atom

```
data_LiTe2W
_chemical_formula_sum 'Li1 Te2 W1'
_space_group_name_H-M_alt 'P 1'
_space_group_IT_number 1
_cell_length_a 7.6856
_cell_length_b 4.8819
_cell_length_c 3.3606
_cell_angle_alpha 90.09
_cell_angle_beta 63.95
_cell_angle_gamma 129.49
loop_
_space_group_symop_operation_xyz
'x,y,z'
loop_
_atom_site_label
_atom_site_type_symbol
_atom_site_fract_x
_atom_site_fract_y
_atom_site_fract_z
Li1 Li 0.5000 0.5000 0.0000
Te1 Te 0.0000 0.0000 0.0000
Te2 Te 0.5000 0.0000 0.5000
W1 W 0.0000 0.5000 0.5000
```

Material: Li2TeW
Method: DFT, PBE-GGA
State: relaxed

Computed properties:
DOS at the Fermi energy = 1.97 states/eV per cell
E_tot = -0.3416 Ry/atom
SG = No. 65
Total magnetic moment = 0.0 μB/f.u.

```
data_Li2TeW
_chemical_formula_sum 'Li2 Te1 W1'
_space_group_name_H-M_alt 'P 1'
_space_group_IT_number 1
_cell_length_a 2.8673
_cell_length_b 2.8673
_cell_length_c 9.5585
_cell_angle_alpha 90.00
_cell_angle_beta 90.00
_cell_angle_gamma 106.81
loop_
_space_group_symop_operation_xyz
'x,y,z'
loop_
_atom_site_label
_atom_site_type_symbol
_atom_site_fract_x
_atom_site_fract_y
_atom_site_fract_z
Li1 Li 0.0000 0.0000 0.9853
Li2 Li 0.0000 0.0000 0.5147
Te1 Te 0.5000 0.5000 0.2500
W1 W 0.5000 0.5000 0.7500
```

Material: LiTe2W
Method: DFT, PBE-GGA
State: relaxed

Computed properties:
DOS at the Fermi energy = 3.64 states/eV per cell
E_tot = -0.3835 Ry/atom
SG = No. 166
Total magnetic moment = 0.0 μB/f.u.
Relative energy among the computed polymorphs = 0.102 eV per atom

```
data_LiTe2W
_chemical_formula_sum 'Li1 Te2 W1'
_space_group_name_H-M_alt 'P 1'
_space_group_IT_number 1
_cell_length_a 9.3121
_cell_length_b 9.3121
_cell_length_c 9.3121
_cell_angle_alpha 22.06
_cell_angle_beta 22.06
_cell_angle_gamma 22.06
loop_
_space_group_symop_operation_xyz
'x,y,z'
loop_
_atom_site_label
_atom_site_type_symbol
_atom_site_fract_x
_atom_site_fract_y
_atom_site_fract_z
Te1 Te 0.0992 0.0992 0.0992
Te2 Te 0.9008 0.9008 0.9008
W1 W 0.5000 0.5000 0.5000
Li1 Li 0.0000 0.0000 0.0000
```

Material: LiTe2W
Method: DFT, PBE-GGA
State: relaxed

Computed properties:
DOS at the Fermi energy = 2.77 states/eV per cell
E_tot = -0.3857 Ry/atom
SG = No. 12
Total magnetic moment = 1.2 μB/f.u.
Relative energy among the computed polymorphs = 0.072 eV per atom

```
data_LiTe2W
_chemical_formula_sum 'Li1 Te2 W1'
_space_group_name_H-M_alt 'P 1'
_space_group_IT_number 1
_cell_length_a 4.0244
_cell_length_b 4.0244
_cell_length_c 7.3604
_cell_angle_alpha 76.51
_cell_angle_beta 76.51
_cell_angle_gamma 54.38
loop_
_space_group_symop_operation_xyz
'x,y,z'
loop_
_atom_site_label
_atom_site_type_symbol
_atom_site_fract_x
_atom_site_fract_y
_atom_site_fract_z
Li1 Li 0.2500 0.2500 0.2500
Te1 Te 0.0040 0.0040 0.9792
Te2 Te 0.4960 0.4960 0.5208
W1 W 0.7500 0.7500 0.7500
```

Material: Li2TeW
Method: DFT, PBE-GGA
State: relaxed

Computed properties:
DOS at the Fermi energy = 3.19 states/eV per cell
E_tot = -0.3403 Ry/atom
SG = No. 166
Total magnetic moment = 0.5 μB/f.u.

```
data_Li2TeW
_chemical_formula_sum 'Li2 Te1 W1'
_space_group_name_H-M_alt 'P 1'
_space_group_IT_number 1
_cell_length_a 9.7253
_cell_length_b 9.7253
_cell_length_c 9.7253
_cell_angle_alpha 17.67
_cell_angle_beta 17.67
_cell_angle_gamma 17.67
loop_
_space_group_symop_operation_xyz
'x,y,z'
loop_
_atom_site_label
_atom_site_type_symbol
_atom_site_fract_x
_atom_site_fract_y
_atom_site_fract_z
Li1 Li 0.0016 0.0016 0.0016
Li2 Li 0.4984 0.4984 0.4984
Te1 Te 0.2500 0.2500 0.2500
W1 W 0.7500 0.7500 0.7500
```

Material: LiTeW
Method: DFT, PBE-GGA
State: relaxed

Computed properties:
DOS at the Fermi energy = 1.38 states/eV per cell
E_tot = -0.3951 Ry/atom
SG = No. 42
Total magnetic moment = 0.0 μB/f.u.
Relative energy among the computed polymorphs = 0.296 eV per atom

```
data_LiTeW
_chemical_formula_sum 'Li1 Te1 W1'
_space_group_name_H-M_alt 'P 1'
_space_group_IT_number 1
_cell_length_a 7.4599
_cell_length_b 7.2415
_cell_length_c 3.0138
_cell_angle_alpha 82.27
_cell_angle_beta 74.13
_cell_angle_gamma 23.60
loop_
_space_group_symop_operation_xyz
'x,y,z'
loop_
_atom_site_label
_atom_site_type_symbol
_atom_site_fract_x
_atom_site_fract_y
_atom_site_fract_z
Li1 Li 0.0125 0.0125 0.9875
Te1 Te 0.3204 0.3204 0.6796
W1 W 0.6671 0.6671 0.3329
```

Material: LiTe2W
Method: DFT, PBE-GGA
State: relaxed

Computed properties:
DOS at the Fermi energy = 4.03 states/eV per cell
E_tot = -0.3763 Ry/atom
SG = No. 139
Total magnetic moment = 0.3 μB/f.u.
Relative energy among the computed polymorphs = 0.199 eV per atom

```
data_LiTe2W
_chemical_formula_sum 'Li1 Te2 W1'
_space_group_name_H-M_alt 'P 1'
_space_group_IT_number 1
_cell_length_a 4.8013
_cell_length_b 4.8013
_cell_length_c 4.8013
_cell_angle_alpha 120.10
_cell_angle_beta 120.10
_cell_angle_gamma 89.83
loop_
_space_group_symop_operation_xyz
'x,y,z'
loop_
_atom_site_label
_atom_site_type_symbol
_atom_site_fract_x
_atom_site_fract_y
_atom_site_fract_z
Li1 Li 0.7500 0.2500 0.5000
Te1 Te 0.9999 0.9999 0.0000
Te2 Te 0.5001 0.5001 0.0000
W1 W 0.2500 0.7500 0.5000
```

Material: Li2TeW
Method: DFT, PBE-GGA
State: relaxed

Computed properties:
DOS at the Fermi energy = 4.74 states/eV per cell
E_tot = -0.3181 Ry/atom
SG = No. 122
Total magnetic moment = 0.0 μB/f.u.

```
data_Li2TeW
_chemical_formula_sum 'Li4 Te2 W2'
_space_group_name_H-M_alt 'P 1'
_space_group_IT_number 1
_cell_length_a 7.5533
_cell_length_b 7.5533
_cell_length_c 5.9418
_cell_angle_alpha 50.54
_cell_angle_beta 50.54
_cell_angle_gamma 90.00
loop_
_space_group_symop_operation_xyz
'x,y,z'
loop_
_atom_site_label
_atom_site_type_symbol
_atom_site_fract_x
_atom_site_fract_y
_atom_site_fract_z
Te1 Te 0.5000 0.5000 0.0000
Te2 Te 0.2500 0.7500 0.5000
W1 W 0.0000 0.0000 0.0000
W2 W 0.7500 0.2500 0.5000
Li1 Li 0.6109 0.1250 0.2500
Li2 Li 0.1391 0.6250 0.2500
Li3 Li 0.3750 0.3891 0.7500
Li4 Li 0.8750 0.8609 0.7500
```

Material: LiTe2W
Method: DFT, PBE-GGA
State: relaxed

Computed properties:
DOS at the Fermi energy = 3.09 states/eV per cell
E_tot = -0.3594 Ry/atom
SG = No. 65
Total magnetic moment = 0.0 μB/f.u.
Relative energy among the computed polymorphs = 0.430 eV per atom

```
data_LiTe2W
_chemical_formula_sum 'Li1 Te2 W1'
_space_group_name_H-M_alt 'P 1'
_space_group_IT_number 1
_cell_length_a 3.2958
_cell_length_b 3.2958
_cell_length_c 8.7019
_cell_angle_alpha 90.00
_cell_angle_beta 90.00
_cell_angle_gamma 115.03
loop_
_space_group_symop_operation_xyz
'x,y,z'
loop_
_atom_site_label
_atom_site_type_symbol
_atom_site_fract_x
_atom_site_fract_y
_atom_site_fract_z
Li1 Li 0.5000 0.5000 0.7500
Te1 Te 0.0000 0.0000 0.0049
Te2 Te 0.0000 0.0000 0.4951
W1 W 0.5000 0.5000 0.2500
```

Material: Li2TeW
Method: DFT, PBE-GGA
State: relaxed

Computed properties:
DOS at the Fermi energy = 0.81 states/eV per cell
E_tot = -0.3513 Ry/atom
SG = No. 119
Total magnetic moment = 0.0 μB/f.u.

```
data_Li2TeW
_chemical_formula_sum 'Li2 Te1 W1'
_space_group_name_H-M_alt 'P 1'
_space_group_IT_number 1
_cell_length_a 4.9770
_cell_length_b 4.9770
_cell_length_c 4.9770
_cell_angle_alpha 134.41
_cell_angle_beta 134.42
_cell_angle_gamma 66.44
loop_
_space_group_symop_operation_xyz
'x,y,z'
loop_
_atom_site_label
_atom_site_type_symbol
_atom_site_fract_x
_atom_site_fract_y
_atom_site_fract_z
Li1 Li 0.9999 0.9999 0.0000
Li2 Li 0.7500 0.2500 0.5000
Te1 Te 0.5001 0.5001 0.0000
W1 W 0.2500 0.7500 0.5000
```

Material: LiTeW3
Method: DFT, PBE-GGA
State: relaxed

Computed properties:
DOS at the Fermi energy = 5.18 states/eV per cell
E_tot = -0.5205 Ry/atom
SG = No. 221
Total magnetic moment = 0.0 μB/f.u.
Relative energy among the computed polymorphs = 0.000 eV per atom

```
data_LiTeW3
_chemical_formula_sum 'Li1 Te1 W3'
_space_group_name_H-M_alt 'P 1'
_space_group_IT_number 1
_cell_length_a 4.3543
_cell_length_b 4.3543
_cell_length_c 4.3543
_cell_angle_alpha 90.00
_cell_angle_beta 90.00
_cell_angle_gamma 90.00
loop_
_space_group_symop_operation_xyz
'x,y,z'
loop_
_atom_site_label
_atom_site_type_symbol
_atom_site_fract_x
_atom_site_fract_y
_atom_site_fract_z
Te1 Te 0.5000 0.5000 0.5000
W1 W 0.0000 0.5000 0.0000
W2 W 0.0000 0.0000 0.5000
W3 W 0.5000 0.0000 0.0000
Li1 Li 0.0000 0.0000 0.0000
```

Material: Li2TeW
Method: DFT, PBE-GGA
State: relaxed

Computed properties:
DOS at the Fermi energy = 3.80 states/eV per cell
E_tot = -0.3279 Ry/atom
SG = No. 35
Total magnetic moment = 0.0 μB/f.u.

```
data_Li2TeW
_chemical_formula_sum 'Li2 Te1 W1'
_space_group_name_H-M_alt 'P 1'
_space_group_IT_number 1
_cell_length_a 3.0329
_cell_length_b 3.0329
_cell_length_c 9.5010
_cell_angle_alpha 90.00
_cell_angle_beta 90.00
_cell_angle_gamma 111.91
loop_
_space_group_symop_operation_xyz
'x,y,z'
loop_
_atom_site_label
_atom_site_type_symbol
_atom_site_fract_x
_atom_site_fract_y
_atom_site_fract_z
Li1 Li 0.0000 0.0000 0.9841
Li2 Li 0.5000 0.5000 0.2497
Te1 Te 0.0000 0.0000 0.5200
W1 W 0.5000 0.5000 0.7461
```

Material: LiTe2W
Method: DFT, PBE-GGA
State: relaxed

Computed properties:
DOS at the Fermi energy = 9.06 states/eV per cell
E_tot = -0.3713 Ry/atom
SG = No. 122
Total magnetic moment = 1.1 μB/f.u.
Relative energy among the computed polymorphs = 0.268 eV per atom

```
data_LiTe2W
_chemical_formula_sum 'Li2 Te4 W2'
_space_group_name_H-M_alt 'P 1'
_space_group_IT_number 1
_cell_length_a 6.3955
_cell_length_b 6.3955
_cell_length_c 7.5174
_cell_angle_alpha 64.83
_cell_angle_beta 64.83
_cell_angle_gamma 90.00
loop_
_space_group_symop_operation_xyz
'x,y,z'
loop_
_atom_site_label
_atom_site_type_symbol
_atom_site_fract_x
_atom_site_fract_y
_atom_site_fract_z
Te1 Te 0.6450 0.1250 0.2500
Te2 Te 0.1050 0.6250 0.2500
Te3 Te 0.3750 0.3550 0.7500
Te4 Te 0.8750 0.8950 0.7500
W1 W 0.0000 0.0000 0.0000
W2 W 0.7500 0.2500 0.5000
Li1 Li 0.5000 0.5000 0.0000
Li2 Li 0.2500 0.7500 0.5000
```

Material: LiTeW3
Method: DFT, PBE-GGA
State: relaxed

Computed properties:
DOS at the Fermi energy = 9.19 states/eV per cell
E_tot = -0.4657 Ry/atom
SG = No. 221
Total magnetic moment = 0.0 μB/f.u.
Relative energy among the computed polymorphs = 0.746 eV per atom

```
data_LiTeW3
_chemical_formula_sum 'Li1 Te1 W3'
_space_group_name_H-M_alt 'P 1'
_space_group_IT_number 1
_cell_length_a 4.9247
_cell_length_b 4.9247
_cell_length_c 4.9247
_cell_angle_alpha 90.00
_cell_angle_beta 90.00
_cell_angle_gamma 90.00
loop_
_space_group_symop_operation_xyz
'x,y,z'
loop_
_atom_site_label
_atom_site_type_symbol
_atom_site_fract_x
_atom_site_fract_y
_atom_site_fract_z
Te1 Te 0.0000 0.0000 0.0000
W1 W 0.0000 0.5000 0.0000
W2 W 0.0000 0.0000 0.5000
W3 W 0.5000 0.0000 0.0000
Li1 Li 0.5000 0.5000 0.5000
```

Material: Li2TeW
Method: DFT, PBE-GGA
State: relaxed

Computed properties:
DOS at the Fermi energy = 3.44 states/eV per cell
E_tot = -0.3370 Ry/atom
SG = No. 10
Total magnetic moment = 0.0 μB/f.u.

```
data_Li2TeW
_chemical_formula_sum 'Li2 Te1 W1'
_space_group_name_H-M_alt 'P 1'
_space_group_IT_number 1
_cell_length_a 4.1710
_cell_length_b 3.0076
_cell_length_c 6.3144
_cell_angle_alpha 60.58
_cell_angle_beta 90.00
_cell_angle_gamma 90.00
loop_
_space_group_symop_operation_xyz
'x,y,z'
loop_
_atom_site_label
_atom_site_type_symbol
_atom_site_fract_x
_atom_site_fract_y
_atom_site_fract_z
Li1 Li 0.0000 0.0115 0.9834
Li2 Li 0.0000 0.4885 0.5166
Te1 Te 0.5000 0.2500 0.2500
W1 W 0.5000 0.7500 0.7500
```

Material: LiTeW
Method: DFT, PBE-GGA
State: relaxed

Computed properties:
DOS at the Fermi energy = 2.37 states/eV per cell
E_tot = -0.3821 Ry/atom
SG = No. 216
Total magnetic moment = 0.7 μB/f.u.
Relative energy among the computed polymorphs = 0.473 eV per atom

```
data_LiTeW
_chemical_formula_sum 'Li1 Te1 W1'
_space_group_name_H-M_alt 'P 1'
_space_group_IT_number 1
_cell_length_a 4.4447
_cell_length_b 4.4447
_cell_length_c 4.4447
_cell_angle_alpha 60.00
_cell_angle_beta 60.00
_cell_angle_gamma 60.00
loop_
_space_group_symop_operation_xyz
'x,y,z'
loop_
_atom_site_label
_atom_site_type_symbol
_atom_site_fract_x
_atom_site_fract_y
_atom_site_fract_z
Li1 Li 0.0000 0.0000 0.0000
Te1 Te 0.5000 0.5000 0.5000
W1 W 0.7500 0.7500 0.7500
```

Material: LiTe2W
Method: DFT, PBE-GGA
State: relaxed

Computed properties:
DOS at the Fermi energy = 2.93 states/eV per cell
E_tot = -0.3489 Ry/atom
SG = No. 119
Total magnetic moment = 2.2 μB/f.u.
Relative energy among the computed polymorphs = 0.572 eV per atom

```
data_LiTe2W
_chemical_formula_sum 'Li1 Te2 W1'
_space_group_name_H-M_alt 'P 1'
_space_group_IT_number 1
_cell_length_a 5.9660
_cell_length_b 5.9660
_cell_length_c 5.9660
_cell_angle_alpha 140.33
_cell_angle_beta 140.33
_cell_angle_gamma 57.35
loop_
_space_group_symop_operation_xyz
'x,y,z'
loop_
_atom_site_label
_atom_site_type_symbol
_atom_site_fract_x
_atom_site_fract_y
_atom_site_fract_z
Li1 Li 0.7500 0.2500 0.5000
Te1 Te 0.0000 0.0000 0.0000
Te2 Te 0.2500 0.7500 0.5000
W1 W 0.5000 0.5000 0.0000
```

Material: LiTeW
Method: DFT, PBE-GGA
State: relaxed

Computed properties:
DOS at the Fermi energy = 1.72 states/eV per cell
E_tot = -0.4054 Ry/atom
SG = No. 156
Total magnetic moment = 0.7 μB/f.u.
Relative energy among the computed polymorphs = 0.157 eV per atom

```
data_LiTeW
_chemical_formula_sum 'Li1 Te1 W1'
_space_group_name_H-M_alt 'P 1'
_space_group_IT_number 1
_cell_length_a 3.2531
_cell_length_b 3.2531
_cell_length_c 6.7339
_cell_angle_alpha 90.00
_cell_angle_beta 90.00
_cell_angle_gamma 120.00
loop_
_space_group_symop_operation_xyz
'x,y,z'
loop_
_atom_site_label
_atom_site_type_symbol
_atom_site_fract_x
_atom_site_fract_y
_atom_site_fract_z
Li1 Li 0.0000 0.0000 0.9829
Te1 Te 0.6667 0.3333 0.3656
W1 W 0.3333 0.6667 0.6515
```